A plane-wave DFT calculation with PBE was carried out for a geometry-optimized DyAlO3 structure.

```
DyAlO3
1.0
-3.202 1.371 -0.880
-1.514 -3.220 0.496
-0.897 1.217 5.164
Al O Dy
1 3 1
Cartesian
-0.765 1.038 4.403 Al
-1.404 -0.733 3.970 O
-2.248 1.563 3.282 O
-2.459 -0.788 0.388 O
-2.802 -0.324 2.358 Dy
```

## Properties
Total moment (μB/atom): 0.000


A plane-wave DFT calculation with PBE was carried out for a geometry-optimized PmScAsO structure.

```
PmScAsO
1.0
4.186 0.000 0.000
0.000 5.142 0.000
0.000 0.000 7.198
Pm Sc O As
2 2 2 2
Cartesian
2.093 4.434 0.670 Pm
2.093 0.708 4.269 Pm
0.000 3.379 3.181 Sc
0.000 1.762 6.780 Sc
2.093 3.555 3.038 O
2.093 1.586 6.637 O
0.000 4.299 5.736 As
0.000 0.843 2.137 As
```

## Properties
Total moment (μB/atom): 0.018
Energy relative to the lowest polymorph listed for this composition (eV/atom): 0.000


A plane-wave DFT calculation with PBE was carried out for a geometry-optimized ZnCl2 structure.

```
ZnCl2
1.0
-0.917 -5.807 0.777
5.657 -0.673 1.646
-2.179 1.424 8.071
Zn Cl
4 8
Cartesian
1.751 -1.380 7.399 Zn
0.811 -3.677 3.095 Zn
4.009 -5.480 2.049 Zn
-0.358 -0.288 4.409 Zn
-0.332 -0.756 6.640 Cl
2.047 -0.441 9.454 Cl
3.054 -1.070 5.555 Cl
2.936 -4.328 3.697 Cl
-0.533 -3.932 4.918 Cl
0.770 -1.397 2.768 Cl
1.749 -3.632 7.882 Cl
0.554 -4.671 1.060 Cl
```


Number 1: E_tot -6.936 eV per atom. Number 2: E_tot -7.219 eV per atom. Number 3: E_tot -2.769 eV per atom.